# 1
Density functional theory data (meta-GGA SCAN) for a crystal of SrRe2Pt relaxed with PBEsol.

Unit cell a=2.6806 b=5.1469 c=5.7759 alpha=114.26 beta=99.53 gamma=98.57
Fractional coordinates of all 4 atoms:
1 Re 0.5000 0.5000 0.5000
2 Re 0.0000 0.0000 0.5000
3 Pt 0.0000 0.5000 0.0000
4 Sr 0.5000 0.0000 0.0000

**DFT total energy**: -231.73 eV per cell
**V**: 17.38 Å³/atom
**Total magnetic moment**: 0.00 μB/atom
**Symmetry**: C2/m (12)
**Offset from the most stable computed form**: 0 meV per atom
**Density of states at the Fermi level**: 0.8419 states/eV/atom

# 2
Density functional theory data (meta-GGA SCAN) for a crystal of NiB2O4 relaxed with PBEsol.

Unit cell a=4.4112 b=5.3684 c=5.3684 alpha=118.62 beta=105.77 gamma=74.23
Site moments in Bohr magnetons follow the coordinates.
Fractional coordinates of all 14 atoms:
1 O 0.5235 0.7714 0.0414  0.04
2 O 0.0235 0.9586 0.2286  0.04
3 O 0.4824 0.2072 0.4963  0.08
4 O 0.5176 0.7928 0.5037  0.08
5 O 0.9765 0.0414 0.7714  0.04
6 O 0.4765 0.2286 0.9586  0.04
7 O 0.9824 0.5037 0.7928  0.08
8 O 0.0176 0.4963 0.2072  0.08
9 B 0.6328 0.0756 0.7092  0.00
10 B 0.3672 0.9244 0.2908  0.00
11 B 0.8672 0.7092 0.0756  0.00
12 B 0.1328 0.2908 0.9244  0.00
13 Ni 0.7500 0.3542 0.3542  1.68
14 Ni 0.2500 0.6458 0.6458  1.68

**DFT total energy**: -143.39 eV per cell
**V**: 7.56 Å³/atom
**Total magnetic moment**: 0.28 μB/atom
**Symmetry**: C2/c (15)
**Formation energy without anion corrections**: -2.248 eV/atom
**Density of states at the Fermi level**: 0.0000 states/eV/atom

Which formula does entry 2 have? NiB2O4

Which of these has the highest V? SrRe2Pt

The lowest V belongs to which entry? NiB2O4

Among the records above, which one has the highest V? SrRe2Pt